A geometry-optimized W2IO structure. Source: Alexandria, functional PBE with a Hubbard U.

Cell and atoms, written as POSCAR:
```
W2IO
1.0
5.552 0.000 0.000
0.000 5.552 0.000
2.776 2.776 6.503
I O W
2 2 4
Direct
0.000 0.000 0.000
0.750 0.250 0.500
0.500 0.500 0.000
0.250 0.750 0.500
0.469 0.125 0.250
0.281 0.625 0.250
0.375 0.531 0.750
0.875 0.719 0.750
```

Properties
SG	No. 122
energy above the lowest structure with this stoichiometry	0.000	eV per atom